No. 1
Mg15Al: relaxed, PBE.

Results
ΔE_f: 0.24 kcal/mol of atoms
E_tot: -27.50 eV/f.u.
Size of the total moment: 0.000 μB/atom
D(E_F): 9.1 states/eV/f.u.
Crystal system: hexagonal

Unit cell a=6.3585 b=6.3585 c=10.2538 alpha=90.00 beta=90.00 gamma=120.00
Atoms (fractional coordinates):
Mg: 0.6667 0.3333 0.2487
Mg: 0.0020 0.5010 0.0000
Mg: 0.6695 0.8347 0.2552
Mg: 0.1653 0.3305 0.2552
Mg: 0.1653 0.3305 0.7448
Mg: 0.5018 0.0037 0.5000
Mg: 0.1653 0.8347 0.2552
Mg: 0.4990 0.9980 0.0000
Mg: 0.6667 0.3333 0.7513
Mg: 0.9963 0.4982 0.5000
Mg: 0.4990 0.5010 0.0000
Mg: 0.0000 0.0000 0.0000
Al: 0.0000 0.0000 0.5000
Mg: 0.1653 0.8347 0.7448
Mg: 0.6695 0.8347 0.7448
Mg: 0.5018 0.4982 0.5000



No. 2
Mg3Al: relaxed, PBE.

Results
ΔE_f: 0.27 kcal/mol of atoms
E_tot: -8.48 eV/f.u.
Size of the total moment: 0.000 μB/atom
D(E_F): 1.1 states/eV/f.u.
Crystal system: orthorhombic

Unit cell a=3.1611 b=5.3479 c=5.8870 alpha=117.01 beta=105.57 gamma=90.00
Atoms (fractional coordinates):
Mg: 0.2574 0.5946 0.5147
Al: 0.0000 0.0029 0.0000
Mg: 0.7426 0.0799 0.4853
Mg: 0.5000 0.4893 0.0000



No. 3
MgAl2: relaxed, PBE.

Results
ΔE_f: -0.57 kcal/mol of atoms
E_tot: -9.15 eV/f.u.
Size of the total moment: 0.000 μB/atom
D(E_F): 1.3 states/eV/f.u.
Crystal system: hexagonal

Unit cell a=5.4461 b=5.4461 c=8.7834 alpha=90.00 beta=90.00 gamma=120.00
Atoms (fractional coordinates):
Mg: 0.6667 0.3333 0.9351
Al: 0.1706 0.3412 0.7500
Al: 0.8294 0.1706 0.2500
Al: 0.3412 0.1706 0.2500
Mg: 0.3333 0.6667 0.4351
Al: 0.8294 0.6588 0.2500
Al: 0.1706 0.8294 0.7500
Al: 0.0000 0.0000 0.0000
Mg: 0.6667 0.3333 0.5649
Mg: 0.3333 0.6667 0.0649
Al: 0.6588 0.8294 0.7500
Al: 0.0000 0.0000 0.5000



No. 4
Mg3Al8: relaxed, PBE.

Results
ΔE_f: 0.23 kcal/mol of atoms
E_tot: -34.61 eV/f.u.
Size of the total moment: 0.000 μB/atom
D(E_F): 4.0 states/eV/f.u.
Crystal system: monoclinic

Unit cell a=4.1620 b=5.0373 c=10.7392 alpha=103.78 beta=90.00 gamma=114.40
Atoms (fractional coordinates):
Mg: 0.9099 0.8199 0.3603
Mg: 0.0901 0.1801 0.6397
Al: 0.7273 0.4545 0.0891
Al: 0.8171 0.6342 0.7292
Al: 0.1829 0.3658 0.2708
Al: 0.5443 0.0887 0.8186
Mg: 0.0000 0.0000 0.0000
Al: 0.4557 0.9113 0.1814
Al: 0.3590 0.7180 0.5461
Al: 0.6410 0.2820 0.4539
Al: 0.2727 0.5455 0.9109



No. 5
MgAl: relaxed, PBE.

Results
ΔE_f: 10.17 kcal/mol of atoms
E_tot: -4.46 eV/f.u.
Size of the total moment: 0.000 μB/atom
D(E_F): 1.3 states/eV/f.u.
Crystal system: cubic

Unit cell a=4.0687 b=4.0687 c=4.0687 alpha=60.00 beta=60.00 gamma=60.00
Atoms (fractional coordinates):
Mg: 0.5000 0.5000 0.5000
Al: 0.0000 0.0000 0.0000



No. 6
MgAl6: relaxed, PBE.

Results
ΔE_f: 15.97 kcal/mol of atoms
E_tot: -19.20 eV/f.u.
Size of the total moment: 0.000 μB/atom
D(E_F): 5.0 states/eV/f.u.
Crystal system: cubic

Unit cell a=6.3352 b=6.3352 c=6.3352 alpha=109.47 beta=109.47 gamma=109.47
Atoms (fractional coordinates):
Al: 0.5000 0.7500 0.2500
Al: 0.5000 0.2500 0.7500
Al: 0.2500 0.7500 0.5000
Al: 0.7500 0.5000 0.2500
Al: 0.7500 0.2500 0.5000
Al: 0.2500 0.5000 0.7500
Mg: 0.0000 0.0000 0.0000



No. 7
Mg7Al: relaxed, PBE.

Results
ΔE_f: 0.34 kcal/mol of atoms
E_tot: -14.79 eV/f.u.
Size of the total moment: 0.000 μB/atom
D(E_F): 4.9 states/eV/f.u.
Crystal system: hexagonal

Unit cell a=6.3318 b=6.3318 c=5.0480 alpha=90.00 beta=90.00 gamma=120.00
Atoms (fractional coordinates):
Mg: 0.1641 0.8359 0.5000
Mg: 0.9993 0.4996 0.0000
Mg: 0.6667 0.3333 0.5000
Mg: 0.1641 0.3282 0.5000
Mg: 0.5004 0.4996 0.0000
Mg: 0.5004 0.0007 0.0000
Mg: 0.6718 0.8359 0.5000
Al: 0.0000 0.0000 0.0000



No. 8
MgAl3: relaxed, PBE.

Results
ΔE_f: 0.41 kcal/mol of atoms
E_tot: -12.75 eV/f.u.
Size of the total moment: 0.000 μB/atom
D(E_F): 1.5 states/eV/f.u.
Crystal system: hexagonal

Unit cell a=4.8734 b=5.8285 c=5.8285 alpha=120.01 beta=90.00 gamma=90.00
Atoms (fractional coordinates):
Al: 0.7500 0.8392 0.1608
Al: 0.7500 0.3217 0.1609
Mg: 0.7500 0.3333 0.6667
Al: 0.2500 0.6783 0.8391
Al: 0.2500 0.1608 0.8392
Al: 0.7500 0.8391 0.6783
Al: 0.2500 0.1609 0.3217
Mg: 0.2500 0.6667 0.3333



No. 9
MgAl: relaxed, PBE.

Results
ΔE_f: 10.93 kcal/mol of atoms
E_tot: -4.39 eV/f.u.
Size of the total moment: 0.000 μB/atom
Crystal system: cubic

Unit cell a=8.3623 b=8.3623 c=8.3623 alpha=90.00 beta=90.00 gamma=90.00
Atoms (fractional coordinates):
Al: 0.1139 0.1139 0.8861
Mg: 0.7017 0.2983 0.2983
Mg: 0.7017 0.7017 0.7017
Mg: 0.2983 0.7017 0.2983
Al: 0.1139 0.8861 0.1139
Mg: 0.7983 0.7983 0.2017
Al: 0.8861 0.1139 0.1139
Al: 0.8861 0.8861 0.8861
Mg: 0.7983 0.2017 0.7983
Al: 0.6139 0.3861 0.6139
Mg: 0.2017 0.2017 0.2017
Al: 0.6139 0.6139 0.3861
Al: 0.3861 0.3861 0.3861
Mg: 0.2983 0.2983 0.7017
Al: 0.3861 0.6139 0.6139
Mg: 0.2017 0.7983 0.7983



No. 10
MgAl: relaxed, PBE.

Results
ΔE_f: 0.86 kcal/mol of atoms
E_tot: -5.26 eV/f.u.
Size of the total moment: 0.000 μB/atom
D(E_F): 0.6 states/eV/f.u.
Crystal system: triclinic

Unit cell a=3.3418 b=4.9166 c=5.5632 alpha=113.56 beta=72.50 gamma=90.27
Atoms (fractional coordinates):
Al: 0.8631 0.8330 0.7766
Mg: 0.3831 0.3196 0.7324
Mg: 0.6169 0.6804 0.2676
Al: 0.1369 0.1670 0.2234



No. 11
Mg13Al16: relaxed, PBE.

Results
ΔE_f: 0.31 kcal/mol of atoms
E_tot: -80.22 eV/f.u.
Size of the total moment: 0.000 μB/atom
D(E_F): 13.2 states/eV/f.u.
Crystal system: cubic

Unit cell a=9.0322 b=9.0322 c=9.0322 alpha=109.47 beta=109.47 gamma=109.47
Atoms (fractional coordinates):
Al: 0.6320 0.8182 0.6320
Al: 0.3680 0.1861 0.0000
Mg: 0.7165 0.3084 0.3084
Al: 0.0000 0.1861 0.3680
Mg: 0.4080 0.0000 0.6916
Mg: 0.3084 0.7165 0.3084
Al: 0.6320 0.6320 0.8182
Mg: 0.6916 0.0000 0.4080
Al: 0.1861 0.3680 0.0000
Mg: 0.0000 0.0000 0.0000
Mg: 0.0000 0.4080 0.6916
Mg: 0.4080 0.6916 0.0000
Mg: 0.0000 0.6916 0.4080
Al: 0.8139 0.8139 0.1818
Al: 0.8182 0.6320 0.6320
Al: 0.6698 0.0000 0.0000
Mg: 0.2835 0.5920 0.5920
Al: 0.3680 0.0000 0.1861
Al: 0.0000 0.3680 0.1861
Al: 0.8139 0.1818 0.8139
Al: 0.0000 0.6698 0.0000
Al: 0.1861 0.0000 0.3680
Mg: 0.3084 0.3084 0.7165
Al: 0.1818 0.8139 0.8139
Al: 0.0000 0.0000 0.6698
Mg: 0.5920 0.2835 0.5920
Al: 0.3302 0.3302 0.3302
Mg: 0.6916 0.4080 0.0000
Mg: 0.5920 0.5920 0.2835



No. 12
MgAl3: relaxed, PBE.

Results
ΔE_f: 0.12 kcal/mol of atoms
E_tot: -12.80 eV/f.u.
Size of the total moment: 0.000 μB/atom
D(E_F): 1.6 states/eV/f.u.
Crystal system: tetragonal

Unit cell a=4.1430 b=4.1430 c=5.0809 alpha=114.06 beta=114.06 gamma=90.00
Atoms (fractional coordinates):
Al: 0.7500 0.2500 0.5000
Mg: 0.0000 0.0000 0.0000
Al: 0.5000 0.5000 0.0000
Al: 0.2500 0.7500 0.5000